[1]
VASP calculation (PBE) on a relaxed Rb2PaBiO6 crystal. Values from VASP.

Results
Formation energy from raw total energies in eV per atom: -2.13
VASP energy in eV per atom: -6.6407
Space-group type: Fm-3m, No. 225
Total moment in μB/f.u.: 0.0

Quantum ESPRESSO input file:
```
&SYSTEM
  ibrav = 0, nat = 10, ntyp = 4
/
ATOMIC_SPECIES
O 16.00 O.upf
Pa 231.04 Pa.upf
Rb 85.47 Rb.upf
Bi 208.98 Bi.upf
CELL_PARAMETERS angstrom
6.1495 0.0001 0.0003
3.0749 5.3256 0.0001
3.0746 1.7754 5.0210
ATOMIC_POSITIONS crystal
O 0.0663 0.0659 0.3016
Pa 0.8162 0.8162 0.5515
Rb 0.5661 0.5661 0.3016
Rb 0.0662 0.0662 0.8014
O 0.0659 0.5662 0.3016
O 0.5664 0.0661 0.8015
O 0.5662 0.0663 0.3016
O 0.0661 0.5660 0.8014
O 0.5661 0.5664 0.8015
Bi 0.3162 0.3162 0.0515
```

***

[2]
VASP calculation (PBE) on a relaxed Rb3PaBi2O8 crystal. Values from VASP.

Results
Formation energy from raw total energies in eV per atom: -1.76
VASP energy in eV per atom: -6.0350
Space-group type: P-3m1, No. 164
Total moment in μB/f.u.: 1.9

Quantum ESPRESSO input file:
```
&SYSTEM
  ibrav = 0, nat = 14, ntyp = 4
/
ATOMIC_SPECIES
Pa 231.04 Pa.upf
Bi 208.98 Bi.upf
O 16.00 O.upf
Rb 85.47 Rb.upf
CELL_PARAMETERS angstrom
6.4086 0.0000 0.0000
-3.2043 5.5500 0.0000
0.0000 0.0000 8.2646
ATOMIC_POSITIONS crystal
Pa 0.0000 0.0000 0.5000
Bi 0.6667 0.3333 0.7785
O 0.8412 0.6823 0.6548
O 0.6667 0.3333 0.0279
O 0.1588 0.8412 0.3452
Bi 0.3333 0.6667 0.2215
Rb 0.6667 0.3333 0.3437
Rb 0.3333 0.6667 0.6563
Rb 0.0000 0.0000 0.0000
O 0.6823 0.8412 0.3452
O 0.1588 0.3177 0.3452
O 0.3333 0.6667 0.9721
O 0.3177 0.1588 0.6548
O 0.8412 0.1588 0.6548
```